Tl9In4Ga: relaxed, PBE.

The calculation puts the energy relative to the elements at 0.04 eV per atom. Its space group is P6_3/mmc (194).

Cell lengths 10.0255, 10.0255, 9.7382 Å; angles 90.00, 90.00, 120.00 degrees
Closest atoms and distances in Å follow each position.
Element x y z (fractional)
1 Tl 0.0675 0.5337 0.2500  2 In 3.31, 1 Ga 3.48, 4 Tl 3.62
2 Tl 0.2011 0.4022 0.5531  1 Ga 2.99, 1 In 3.31
3 Tl 0.2011 0.4022 0.9469  1 Ga 2.99, 1 In 3.31
4 Tl 0.2011 0.7989 0.5531  1 Ga 2.99, 1 In 3.31
5 Tl 0.2011 0.7989 0.9469  1 Ga 2.99, 1 In 3.31
6 Tl 0.4022 0.2011 0.0531  1 Ga 2.99, 1 In 3.31
7 Tl 0.4022 0.2011 0.4469  1 Ga 2.99, 1 In 3.31
8 Tl 0.4663 0.5337 0.2500  2 In 3.31, 1 Ga 3.48, 4 Tl 3.62
9 Tl 0.4663 0.9325 0.2500  2 In 3.31, 1 Ga 3.48, 4 Tl 3.62
10 Tl 0.5337 0.0675 0.7500  2 In 3.31, 1 Ga 3.48, 4 Tl 3.62
11 Tl 0.5337 0.4663 0.7500  2 In 3.31, 1 Ga 3.48, 4 Tl 3.62
12 Tl 0.5978 0.7989 0.5531  1 Ga 2.99, 1 In 3.31
13 Tl 0.5978 0.7989 0.9469  1 Ga 2.99, 1 In 3.31
14 Tl 0.7989 0.2011 0.0531  1 Ga 2.99, 1 In 3.31
15 Tl 0.7989 0.2011 0.4469  1 Ga 2.99, 1 In 3.31
16 Tl 0.7989 0.5978 0.0531  1 Ga 2.99, 1 In 3.31
17 Tl 0.7989 0.5978 0.4469  1 Ga 2.99, 1 In 3.31
18 Tl 0.9325 0.4663 0.7500  2 In 3.31, 1 Ga 3.48, 4 Tl 3.62
19 In 0.0000 0.0000 0.0000  6 In 3.15
20 In 0.0000 0.0000 0.5000  6 In 3.15
21 In 0.1150 0.2300 0.2500  4 In 3.15-3.46, 4 Tl 3.31
22 In 0.1150 0.8850 0.2500  4 In 3.15-3.46, 4 Tl 3.31
23 In 0.2300 0.1150 0.7500  4 In 3.15-3.46, 4 Tl 3.31
24 In 0.7700 0.8850 0.2500  4 In 3.15-3.46, 4 Tl 3.31
25 In 0.8850 0.1150 0.7500  4 In 3.15-3.46, 4 Tl 3.31
26 In 0.8850 0.7700 0.7500  4 In 3.15-3.46, 4 Tl 3.31
27 Ga 0.3333 0.6667 0.7500  6 Tl 2.99
28 Ga 0.6667 0.3333 0.2500  6 Tl 2.99